This record from Alexandria via LeMat-Bulk describes a relaxed structure of HoScCuRu. The functional is PBE-GGA.

As for the calculated formation energy: -388 meV per atom.

The structure belongs to space group F-43m (No. 216); the cell edges are 6.657, 6.657 and 6.657 Å and the angles 90.00°, 90.00° and 90.00°. The asymmetric unit holds Ho at (0.000, 0.000, 0.000), Sc at (0.000, 0.000, 0.500), Cu at (0.250, 0.250, 0.750) and Ru at (0.250, 0.250, 0.250).

This record from Alexandria via LeMat-Bulk describes a relaxed structure of NdPdRhAu. The functional is PBE-GGA.

As for the calculated formation energy: -515 meV per atom.

The structure belongs to space group F-43m (No. 216); the cell edges are 6.746, 6.746 and 6.746 Å and the angles 90.00°, 90.00° and 90.00°. The asymmetric unit holds Nd at (0.000, 0.000, 0.000), Pd at (0.250, 0.250, 0.750), Rh at (0.250, 0.250, 0.250) and Au at (0.000, 0.000, 0.500).

This record from Alexandria via LeMat-Bulk describes a relaxed structure of Tl3NiI6. The functional is PBE-GGA.

The value obtained for the distance to the lowest polymorph of the same formula is 0 meV per atom.

The structure belongs to space group P2_1/c (No. 14); the cell edges are 7.846, 8.512 and 13.937 Å and the angles 90.00°, 123.39° and 90.00°. The asymmetric unit holds Tl at (0.000, 0.000, 0.000), Tl at (0.294, 0.092, 0.761), Ni at (0.500, 0.000, 0.500), I at (0.182, 0.011, 0.275), I at (0.264, 0.664, 0.047) and I at (0.374, 0.224, 0.043).

This record from Alexandria via LeMat-Bulk describes a relaxed structure of YIn2C. The functional is PBE-GGA.

As for the calculated formation energy: 362 meV per atom.

The structure belongs to space group I-42d (No. 122); the cell edges are 8.092, 8.092 and 5.146 Å and the angles 90.00°, 90.00° and 90.00°. The asymmetric unit holds Y at (0.000, 0.000, 0.000), In at (0.159, 0.250, 0.625) and C at (0.000, 0.000, 0.500).